[1]
Material: Tb3Tl4InSe8
Method: DFT, GGA-PBE
State: relaxed

Lattice parameters (Å, degrees): 8.364 9.146 8.363 117.20 120.00 90.00
Fractional coordinates of all 16 atoms:
Tb 0.500 0.500 0.000
Tb 0.500 0.500 0.500
Tb 0.000 0.500 0.500
Tl 0.500 0.000 0.000
Tl 0.500 0.000 0.500
Tl 0.000 0.000 0.000
Tl 0.000 0.000 0.500
In 0.000 0.500 0.000
Se 0.232 0.704 0.972
Se 0.233 0.704 0.465
Se 0.265 0.294 0.530
Se 0.740 0.704 0.972
Se 0.260 0.296 0.028
Se 0.735 0.706 0.470
Se 0.767 0.296 0.535
Se 0.768 0.296 0.028

Results
Space-group type: C2/m (12)
N(E_F) in states/eV/atom: 0.026

[2]
Material: Tb2TmIn3Se6
Method: DFT, GGA-PBE
State: relaxed

Lattice parameters (Å, degrees): 7.178 7.178 8.108 98.49 98.49 119.99
Fractional coordinates of all 12 atoms:
Tb 0.333 0.667 0.000
Tb 0.667 0.333 0.000
Tm 0.000 0.000 0.000
In 0.167 0.833 0.500
In 0.833 0.167 0.500
In 0.500 0.500 0.500
Se 0.931 0.602 0.793
Se 0.741 0.741 0.209
Se 0.069 0.398 0.207
Se 0.602 0.931 0.793
Se 0.259 0.259 0.791
Se 0.398 0.069 0.207

Results
Space-group type: C2/m (12)

Number 1: formation energy from raw total energies -18.40 eV per formula unit, total moment 0.000 μB per cell. Number 2: formation energy from raw total energies -15.58 eV per formula unit, total moment 0.000 μB per cell.